(1)
! PBE CaSn3Hg2, optimized geometry; values from VASP
! Energy of formation from the pure elements: -0.22 eV per atom
&SYSTEM
  ibrav = 0, nat = 12, ntyp = 3
/
ATOMIC_SPECIES
Ca 40.08 Ca.upf
Sn 118.71 Sn.upf
Hg 200.59 Hg.upf
CELL_PARAMETERS angstrom
3.778 -4.936 0.000
3.778 4.936 0.000
-0.496 0.000 8.771
ATOMIC_POSITIONS crystal
Ca 0.140 0.860 0.750
Ca 0.860 0.140 0.250
Sn 0.158 0.368 0.953
Sn 0.368 0.158 0.453
Sn 0.444 0.556 0.250
Sn 0.556 0.444 0.750
Sn 0.632 0.842 0.547
Sn 0.842 0.632 0.047
Hg 0.017 0.680 0.389
Hg 0.320 0.983 0.111
Hg 0.680 0.017 0.889
Hg 0.983 0.320 0.611

(2)
! PBE Pu2Ge3Au9, optimized geometry; values from VASP
! Energy of formation from the pure elements: -0.21 eV per atom
&SYSTEM
  ibrav = 0, nat = 28, ntyp = 3
/
ATOMIC_SPECIES
Pu 244.00 Pu.upf
Ge 72.64 Ge.upf
Au 196.97 Au.upf
CELL_PARAMETERS angstrom
7.115 -4.135 0.000
7.115 4.135 0.000
-4.730 0.000 9.565
ATOMIC_POSITIONS crystal
Pu 0.076 0.244 0.244
Pu 0.244 0.076 0.744
Pu 0.756 0.924 0.256
Pu 0.924 0.756 0.756
Ge 0.000 0.500 0.000
Ge 0.121 0.714 0.516
Ge 0.286 0.879 0.984
Ge 0.500 0.000 0.500
Ge 0.714 0.121 0.016
Ge 0.879 0.286 0.484
Au 0.049 0.836 0.093
Au 0.164 0.951 0.407
Au 0.189 0.366 0.582
Au 0.198 0.563 0.270
Au 0.290 0.475 0.924
Au 0.366 0.189 0.082
Au 0.375 0.625 0.750
Au 0.437 0.802 0.230
Au 0.475 0.290 0.424
Au 0.525 0.710 0.576
Au 0.563 0.198 0.770
Au 0.625 0.375 0.250
Au 0.634 0.811 0.918
Au 0.710 0.525 0.076
Au 0.802 0.437 0.730
Au 0.811 0.634 0.418
Au 0.836 0.049 0.593
Au 0.951 0.164 0.907

(3)
! PBE SrMg6Pb12, optimized geometry; values from VASP
! Energy of formation from the pure elements: -0.02 eV per atom
&SYSTEM
  ibrav = 0, nat = 19, ntyp = 3
/
ATOMIC_SPECIES
Sr 87.62 Sr.upf
Mg 24.30 Mg.upf
Pb 207.20 Pb.upf
CELL_PARAMETERS angstrom
-5.188 5.188 5.188
5.188 -5.188 5.188
5.188 5.188 -5.188
ATOMIC_POSITIONS crystal
Sr 0.000 0.000 0.000
Mg 0.143 0.500 0.643
Mg 0.357 0.857 0.500
Mg 0.500 0.357 0.857
Mg 0.500 0.643 0.143
Mg 0.643 0.143 0.500
Mg 0.857 0.500 0.357
Pb 0.094 0.276 0.818
Pb 0.182 0.459 0.276
Pb 0.182 0.906 0.724
Pb 0.276 0.182 0.459
Pb 0.276 0.818 0.094
Pb 0.459 0.276 0.182
Pb 0.541 0.724 0.818
Pb 0.724 0.182 0.906
Pb 0.724 0.818 0.541
Pb 0.818 0.094 0.276
Pb 0.818 0.541 0.724
Pb 0.906 0.724 0.182

(4)
! PBE Te3NF, optimized geometry; values from VASP
! E_tot: -17.136 eV/f.u.
&SYSTEM
  ibrav = 0, nat = 5, ntyp = 3
/
ATOMIC_SPECIES
Te 127.60 Te.upf
N 14.01 N.upf
F 19.00 F.upf
CELL_PARAMETERS angstrom
4.660 0.000 0.000
0.000 4.660 0.000
0.000 0.000 4.660
ATOMIC_POSITIONS crystal
Te 0.000 0.000 0.500
Te 0.000 0.500 0.000
Te 0.500 0.000 0.000
N 0.000 0.000 0.000
F 0.500 0.500 0.500

(5)
! PBE SmTh2Ta, optimized geometry; values from VASP
! Energy of formation from the pure elements: 0.62 eV per atom
&SYSTEM
  ibrav = 0, nat = 12, ntyp = 3
/
ATOMIC_SPECIES
Sm 150.36 Sm.upf
Th 232.04 Th.upf
Ta 180.95 Ta.upf
CELL_PARAMETERS angstrom
3.312 0.000 0.000
-1.656 2.868 0.000
0.000 0.000 36.537
ATOMIC_POSITIONS crystal
Sm 0.000 0.000 0.000
Sm 0.333 0.667 0.667
Sm 0.667 0.333 0.333
Th 0.000 0.000 0.420
Th 0.000 0.000 0.580
Th 0.333 0.667 0.086
Th 0.333 0.667 0.247
Th 0.667 0.333 0.753
Th 0.667 0.333 0.914
Ta 0.000 0.000 0.500
Ta 0.333 0.667 0.167
Ta 0.667 0.333 0.833

(6)
! PBE Sm2Zn5Pt3, optimized geometry; values from VASP
! Energy of formation from the pure elements: -0.59 eV per atom
&SYSTEM
  ibrav = 0, nat = 10, ntyp = 3
/
ATOMIC_SPECIES
Sm 150.36 Sm.upf
Zn 65.41 Zn.upf
Pt 195.08 Pt.upf
CELL_PARAMETERS angstrom
3.968 0.000 0.000
0.000 3.968 0.000
0.000 0.000 12.080
ATOMIC_POSITIONS crystal
Sm 0.000 0.500 0.240
Sm 0.500 0.000 0.760
Zn 0.000 0.000 0.500
Zn 0.000 0.500 0.637
Zn 0.500 0.000 0.363
Zn 0.500 0.500 0.000
Zn 0.500 0.500 0.500
Pt 0.000 0.000 0.000
Pt 0.000 0.500 0.845
Pt 0.500 0.000 0.155

(7)
! PBE SrScGa, optimized geometry; values from VASP
! Energy of formation from the pure elements: -0.18 eV per atom
&SYSTEM
  ibrav = 0, nat = 12, ntyp = 3
/
ATOMIC_SPECIES
Sr 87.62 Sr.upf
Sc 44.96 Sc.upf
Ga 69.72 Ga.upf
CELL_PARAMETERS angstrom
12.048 0.000 0.000
0.000 3.692 0.000
-5.449 0.000 7.852
ATOMIC_POSITIONS crystal
Sr 0.000 0.000 0.000
Sr 0.108 0.500 0.704
Sr 0.500 0.500 0.000
Sr 0.608 0.000 0.704
Sc 0.254 0.000 0.504
Sc 0.348 0.500 0.305
Sc 0.754 0.500 0.504
Sc 0.848 0.000 0.305
Ga 0.048 0.500 0.319
Ga 0.290 0.000 0.044
Ga 0.548 0.000 0.319
Ga 0.790 0.500 0.044

(8)
! PBE La2P7Rh12, optimized geometry; values from VASP
! Energy of formation from the pure elements: -0.92 eV per atom
&SYSTEM
  ibrav = 0, nat = 21, ntyp = 3
/
ATOMIC_SPECIES
La 138.91 La.upf
P 30.97 P.upf
Rh 102.91 Rh.upf
CELL_PARAMETERS angstrom
9.684 0.000 0.000
-4.842 8.386 0.000
0.000 0.000 3.914
ATOMIC_POSITIONS crystal
La 0.333 0.667 0.247
La 0.667 0.333 0.753
P 0.000 0.000 0.000
P 0.113 0.401 0.745
P 0.288 0.887 0.745
P 0.401 0.288 0.255
P 0.599 0.712 0.745
P 0.712 0.113 0.255
P 0.887 0.599 0.255
Rh 0.064 0.619 0.749
Rh 0.111 0.852 0.249
Rh 0.148 0.259 0.249
Rh 0.259 0.111 0.751
Rh 0.381 0.444 0.749
Rh 0.444 0.064 0.251
Rh 0.556 0.936 0.749
Rh 0.619 0.556 0.251
Rh 0.741 0.889 0.249
Rh 0.852 0.741 0.751
Rh 0.889 0.148 0.751
Rh 0.936 0.381 0.251

(9)
! PBE K2Na17Hg2, optimized geometry; values from VASP
! Energy of formation from the pure elements: -0.01 eV per atom
&SYSTEM
  ibrav = 0, nat = 21, ntyp = 3
/
ATOMIC_SPECIES
K 39.10 K.upf
Na 22.99 Na.upf
Hg 200.59 Hg.upf
CELL_PARAMETERS angstrom
6.963 -6.355 0.000
6.963 6.355 0.000
-2.029 0.000 9.416
ATOMIC_POSITIONS crystal
K 0.170 0.170 0.354
K 0.830 0.830 0.646
Na 0.000 0.500 0.000
Na 0.156 0.844 0.000
Na 0.159 0.159 0.816
Na 0.166 0.669 0.335
Na 0.238 0.515 0.757
Na 0.331 0.834 0.665
Na 0.391 0.391 0.103
Na 0.485 0.762 0.243
Na 0.500 0.000 0.000
Na 0.500 0.500 0.500
Na 0.515 0.238 0.757
Na 0.609 0.609 0.897
Na 0.669 0.166 0.335
Na 0.762 0.485 0.243
Na 0.834 0.331 0.665
Na 0.841 0.841 0.184
Na 0.844 0.156 0.000
Hg 0.000 0.500 0.500
Hg 0.500 0.000 0.500

(10)
! PBE DyY4Se5, optimized geometry; values from VASP
! E_tot: -65.490 eV/f.u.
&SYSTEM
  ibrav = 0, nat = 10, ntyp = 3
/
ATOMIC_SPECIES
Dy 162.50 Dy.upf
Y 88.91 Y.upf
Se 78.96 Se.upf
CELL_PARAMETERS angstrom
-4.561 4.561 2.895
4.561 -4.561 2.895
4.561 4.561 -2.895
ATOMIC_POSITIONS crystal
Dy 0.000 0.000 0.000
Y 0.199 0.599 0.799
Y 0.401 0.199 0.600
Y 0.599 0.801 0.400
Y 0.801 0.401 0.201
Se 0.100 0.299 0.399
Se 0.299 0.900 0.199
Se 0.500 0.500 0.000
Se 0.701 0.100 0.801
Se 0.900 0.701 0.601

(11)
! PBE Zr2CdCl, optimized geometry; values from VASP
! E_tot: -21.364 eV/f.u.
&SYSTEM
  ibrav = 0, nat = 12, ntyp = 3
/
ATOMIC_SPECIES
Zr 91.22 Zr.upf
Cd 112.41 Cd.upf
Cl 35.45 Cl.upf
CELL_PARAMETERS angstrom
3.167 0.000 0.000
-1.584 2.743 0.000
0.000 0.000 28.655
ATOMIC_POSITIONS crystal
Zr 0.000 0.000 0.243
Zr 0.000 0.000 0.757
Zr 0.333 0.667 0.424
Zr 0.333 0.667 0.910
Zr 0.667 0.333 0.090
Zr 0.667 0.333 0.576
Cd 0.000 0.000 0.000
Cd 0.333 0.667 0.667
Cd 0.667 0.333 0.333
Cl 0.000 0.000 0.500
Cl 0.333 0.667 0.167
Cl 0.667 0.333 0.833

(12)
! PBE Ce2ZnGe3, optimized geometry; values from VASP
! Energy of formation from the pure elements: -0.57 eV per atom
&SYSTEM
  ibrav = 0, nat = 6, ntyp = 3
/
ATOMIC_SPECIES
Ce 140.12 Ce.upf
Zn 65.41 Zn.upf
Ge 72.64 Ge.upf
CELL_PARAMETERS angstrom
4.151 0.000 0.000
0.000 4.313 0.000
0.000 0.000 7.330
ATOMIC_POSITIONS crystal
Ce 0.000 0.000 0.000
Ce 0.000 0.500 0.482
Zn 0.500 0.500 0.818
Ge 0.500 0.000 0.326
Ge 0.500 0.000 0.666
Ge 0.500 0.500 0.150

(13)
! PBE CsMg2Ag, optimized geometry; values from VASP
! Energy of formation from the pure elements: 0.21 eV per atom
&SYSTEM
  ibrav = 0, nat = 16, ntyp = 3
/
ATOMIC_SPECIES
Cs 132.91 Cs.upf
Mg 24.30 Mg.upf
Ag 107.87 Ag.upf
CELL_PARAMETERS angstrom
6.498 0.000 0.000
0.000 6.498 0.000
0.000 0.000 16.920
ATOMIC_POSITIONS crystal
Cs 0.000 0.000 0.000
Cs 0.000 0.500 0.250
Cs 0.500 0.000 0.750
Cs 0.500 0.500 0.500
Mg 0.006 0.250 0.625
Mg 0.250 0.506 0.875
Mg 0.250 0.994 0.375
Mg 0.494 0.250 0.125
Mg 0.506 0.750 0.125
Mg 0.750 0.006 0.375
Mg 0.750 0.494 0.875
Mg 0.994 0.750 0.625
Ag 0.000 0.000 0.500
Ag 0.000 0.500 0.750
Ag 0.500 0.000 0.250
Ag 0.500 0.500 0.000

(14)
! PBE Cd2Ag9Hg, optimized geometry; values from VASP
! Energy of formation from the pure elements: 0.00 eV per atom
&SYSTEM
  ibrav = 0, nat = 12, ntyp = 3
/
ATOMIC_SPECIES
Cd 112.41 Cd.upf
Ag 107.87 Ag.upf
Hg 200.59 Hg.upf
CELL_PARAMETERS angstrom
4.200 0.000 0.000
0.000 4.200 0.000
0.000 0.000 12.687
ATOMIC_POSITIONS crystal
Cd 0.000 0.000 0.165
Cd 0.000 0.000 0.835
Ag 0.000 0.500 0.000
Ag 0.000 0.500 0.331
Ag 0.000 0.500 0.669
Ag 0.500 0.000 0.000
Ag 0.500 0.000 0.331
Ag 0.500 0.000 0.669
Ag 0.500 0.500 0.167
Ag 0.500 0.500 0.500
Ag 0.500 0.500 0.833
Hg 0.000 0.000 0.500

(15)
! PBE Mg2ReW, optimized geometry; values from VASP
! Energy of formation from the pure elements: 0.43 eV per atom
&SYSTEM
  ibrav = 0, nat = 4, ntyp = 3
/
ATOMIC_SPECIES
Mg 24.30 Mg.upf
Re 186.21 Re.upf
W 183.84 W.upf
CELL_PARAMETERS angstrom
2.696 0.000 0.000
0.000 2.696 0.000
0.000 0.000 9.148
ATOMIC_POSITIONS crystal
Mg 0.000 0.000 0.248
Mg 0.000 0.000 0.752
Re 0.500 0.500 0.000
W 0.500 0.500 0.500

(16)
! PBE YBeMo2, optimized geometry; values from VASP
! Energy of formation from the pure elements: 0.66 eV per atom
&SYSTEM
  ibrav = 0, nat = 8, ntyp = 3
/
ATOMIC_SPECIES
Y 88.91 Y.upf
Be 9.01 Be.upf
Mo 95.94 Mo.upf
CELL_PARAMETERS angstrom
5.523 0.000 0.000
0.000 9.140 0.000
0.000 0.000 2.742
ATOMIC_POSITIONS crystal
Y 0.000 0.000 0.000
Y 0.500 0.500 0.000
Be 0.000 0.500 0.000
Be 0.500 0.000 0.000
Mo 0.250 0.250 0.500
Mo 0.250 0.750 0.500
Mo 0.750 0.250 0.500
Mo 0.750 0.750 0.500

(17)
! PBE CsMgPI2, optimized geometry; values from VASP
! E_tot: -13.889 eV/f.u.
&SYSTEM
  ibrav = 0, nat = 5, ntyp = 4
/
ATOMIC_SPECIES
Cs 132.91 Cs.upf
Mg 24.30 Mg.upf
P 30.97 P.upf
I 126.90 I.upf
CELL_PARAMETERS angstrom
6.157 0.000 0.000
0.000 6.157 0.000
0.000 0.000 5.139
ATOMIC_POSITIONS crystal
Cs 0.000 0.000 0.000
Mg 0.500 0.500 0.500
P 0.500 0.500 0.000
I 0.000 0.500 0.500
I 0.500 0.000 0.500

(18)
! PBE SrLi2Be, optimized geometry; values from VASP
! Energy of formation from the pure elements: 0.37 eV per atom
&SYSTEM
  ibrav = 0, nat = 8, ntyp = 3
/
ATOMIC_SPECIES
Sr 87.62 Sr.upf
Li 6.94 Li.upf
Be 9.01 Be.upf
CELL_PARAMETERS angstrom
4.558 0.000 0.000
0.000 4.558 0.000
0.000 0.000 8.896
ATOMIC_POSITIONS crystal
Sr 0.000 0.000 0.000
Sr 0.500 0.500 0.500
Li 0.000 0.500 0.250
Li 0.000 0.500 0.750
Li 0.500 0.000 0.250
Li 0.500 0.000 0.750
Be 0.000 0.000 0.500
Be 0.500 0.500 0.000